PmHo2Pt3 (PBE, optimized geometry); E_form = -1.1115 eV/atom; SG = Immm, No. 71; final energy = -38.70 eV/cell; density of states at the Fermi level = 4.4 states/eV/cell
1.0
-2.053 2.891 6.118
2.053 -2.891 6.118
2.053 2.891 -6.118
Pm Ho Pt
1 2 3
Cartesian
0.000 0.000 0.000
0.000 0.000 4.097
0.000 0.000 8.138
2.053 0.000 2.115
0.000 2.891 0.000
0.000 2.891 4.003